# PBE-GGA Cs5Rb12Pd3, optimized geometry
data_Cs5Rb12Pd3
_symmetry_space_group_name_H-M 'I a -3 d'
_symmetry_Int_Tables_number 230
_symmetry_space_group_name_Hall '-I 4bd 2c 3'
_cell_length_a 24.475
_cell_length_b 24.475
_cell_length_c 24.475
_cell_angle_alpha 90.00
_cell_angle_beta 90.00
_cell_angle_gamma 90.00
loop_
_atom_site_label
_atom_site_type_symbol
_atom_site_fract_x
_atom_site_fract_y
_atom_site_fract_z
Cs1 Cs 0.000 0.000 0.000
Cs2 Cs 0.000 0.250 0.375
Rb1 Rb 0.012 0.121 0.644
Pd1 Pd 0.000 0.250 0.125
# size of the total moment	0.00	μB per formula unit
# theoretical density	1.82	g/cm3
# formation energy	0.23	eV/atom

=====

# PBE-GGA CuAu, optimized geometry
data_CuAu
_symmetry_space_group_name_H-M 'I m m a'
_symmetry_Int_Tables_number 74
_symmetry_space_group_name_Hall '-I 2b 2'
_cell_length_a 3.025
_cell_length_b 4.426
_cell_length_c 8.995
_cell_angle_alpha 90.00
_cell_angle_beta 90.00
_cell_angle_gamma 90.00
loop_
_atom_site_label
_atom_site_type_symbol
_atom_site_fract_x
_atom_site_fract_y
_atom_site_fract_z
Cu1 Cu 0.000 0.250 0.137
Au1 Au 0.000 0.250 0.613
# size of the total moment	0.00	μB per formula unit
# theoretical density	14.37	g/cm3
# formation energy	-0.02	eV/atom

=====

# PBE-GGA NdVZn, optimized geometry
data_NdVZn
_symmetry_space_group_name_H-M 'F m m m'
_symmetry_Int_Tables_number 69
_symmetry_space_group_name_Hall '-F 2 2'
_cell_length_a 4.801
_cell_length_b 6.904
_cell_length_c 17.221
_cell_angle_alpha 90.00
_cell_angle_beta 90.00
_cell_angle_gamma 90.00
loop_
_atom_site_label
_atom_site_type_symbol
_atom_site_fract_x
_atom_site_fract_y
_atom_site_fract_z
Nd1 Nd 0.000 0.000 0.110
V1 V 0.000 0.142 0.500
Zn1 Zn 0.250 0.250 0.250
# size of the total moment	0.00	μB per formula unit
# theoretical density	6.06	g/cm3
# formation energy	0.31	eV/atom

=====

# PBE-GGA PrTm5Cu6, optimized geometry
data_PrTm5Cu6
_symmetry_space_group_name_H-M 'C m m m'
_symmetry_Int_Tables_number 65
_symmetry_space_group_name_Hall '-C 2 2'
_cell_length_a 4.887
_cell_length_b 14.732
_cell_length_c 6.860
_cell_angle_alpha 90.00
_cell_angle_beta 90.00
_cell_angle_gamma 90.00
loop_
_atom_site_label
_atom_site_type_symbol
_atom_site_fract_x
_atom_site_fract_y
_atom_site_fract_z
Pr1 Pr 0.000 0.000 0.000
Tm1 Tm 0.000 0.000 0.500
Tm2 Tm 0.000 0.331 0.000
Tm3 Tm 0.000 0.334 0.500
Cu1 Cu 0.000 0.172 0.257
Cu2 Cu 0.000 0.500 0.267
# size of the total moment	0.00	μB per formula unit
# theoretical density	9.19	g/cm3
# formation energy	-0.26	eV/atom

=====

# PBE-GGA Ni2AgPbI, optimized geometry
data_Ni2AgPbI
_symmetry_space_group_name_H-M 'P 4/m m m'
_symmetry_Int_Tables_number 123
_symmetry_space_group_name_Hall '-P 4 2'
_cell_length_a 4.915
_cell_length_b 4.915
_cell_length_c 5.531
_cell_angle_alpha 90.00
_cell_angle_beta 90.00
_cell_angle_gamma 90.00
loop_
_atom_site_label
_atom_site_type_symbol
_atom_site_fract_x
_atom_site_fract_y
_atom_site_fract_z
Ni1 Ni 0.000 0.500 0.000
Ag1 Ag 0.000 0.000 0.500
Pb1 Pb 0.000 0.000 0.000
I1 I 0.500 0.500 0.500
# size of the total moment	1.28	μB per formula unit
# E_form (uncorrected)	0.991	eV per atom
# theoretical density	6.95	g/cm3

=====

# PBE-GGA TaRe2Si2, optimized geometry
data_TaRe2Si2
_symmetry_space_group_name_H-M 'P 4/m b m'
_symmetry_Int_Tables_number 127
_symmetry_space_group_name_Hall '-P 4 2ab'
_cell_length_a 6.983
_cell_length_b 6.983
_cell_length_c 2.980
_cell_angle_alpha 90.00
_cell_angle_beta 90.00
_cell_angle_gamma 90.00
loop_
_atom_site_label
_atom_site_type_symbol
_atom_site_fract_x
_atom_site_fract_y
_atom_site_fract_z
Ta1 Ta 0.000 0.000 0.000
Re1 Re 0.151 0.349 0.500
Si1 Si 0.142 0.642 0.000
# size of the total moment	0.00	μB per formula unit
# E_form (uncorrected)	-0.165	eV per atom
# theoretical density	13.93	g/cm3

=====

# PBE-GGA Pm3TlPt8, optimized geometry
data_Pm3TlPt8
_symmetry_space_group_name_H-M 'R 3 m'
_symmetry_Int_Tables_number 160
_symmetry_space_group_name_Hall 'R 3 -2"'
_cell_length_a 5.4914
_cell_length_b 5.4914
_cell_length_c 26.8810
_cell_angle_alpha 90.00
_cell_angle_beta 90.00
_cell_angle_gamma 120.00
loop_
_atom_site_label
_atom_site_type_symbol
_atom_site_fract_x
_atom_site_fract_y
_atom_site_fract_z
Pm1 Pm 0.0000 0.0000 0.0000
Pm2 Pm 0.0000 0.0000 0.1285
Pm3 Pm 0.0000 0.0000 0.5125
Tl1 Tl 0.0000 0.0000 0.6363
Pt1 Pt 0.0000 0.0000 0.3177
Pt2 Pt 0.0000 0.0000 0.8178
Pt3 Pt 0.0025 0.5012 0.0696
Pt4 Pt 0.1683 0.3366 0.8998
# size of the total moment	0.00	μB per formula unit
# theoretical density	15.61	g/cm3
# formation energy	-0.92	eV/atom

=====

# PBE-GGA NdH6Ir2Pb, optimized geometry
data_NdH6Ir2Pb
_symmetry_space_group_name_H-M 'C 1 2/c 1'
_symmetry_Int_Tables_number 15
_symmetry_space_group_name_Hall '-C 2yc'
_cell_length_a 7.882
_cell_length_b 10.082
_cell_length_c 6.149
_cell_angle_alpha 90.00
_cell_angle_beta 105.00
_cell_angle_gamma 90.00
loop_
_atom_site_label
_atom_site_type_symbol
_atom_site_fract_x
_atom_site_fract_y
_atom_site_fract_z
Nd1 Nd 0.000 0.132 0.250
H1 H 0.081 0.094 0.645
H2 H 0.202 0.282 0.130
H3 H 0.224 0.499 0.072
Ir1 Ir 0.202 0.402 0.312
Pb1 Pb 0.000 0.360 0.750
# size of the total moment	0.00	μB per formula unit
# theoretical density	10.44	g/cm3
# electronic total energy	-4.7495	eV/atom

=====

# PBE-GGA BaCa3Cd, optimized geometry
data_BaCa3Cd
_symmetry_space_group_name_H-M 'I m m a'
_symmetry_Int_Tables_number 74
_symmetry_space_group_name_Hall '-I 2b 2'
_cell_length_a 8.586
_cell_length_b 12.244
_cell_length_c 8.624
_cell_angle_alpha 90.00
_cell_angle_beta 90.00
_cell_angle_gamma 90.00
loop_
_atom_site_label
_atom_site_type_symbol
_atom_site_fract_x
_atom_site_fract_y
_atom_site_fract_z
Ba1 Ba 0.000 0.250 0.043
Ca1 Ca 0.000 0.250 0.537
Ca2 Ca 0.250 0.018 0.750
Cd1 Cd 0.000 0.000 0.500
# size of the total moment	0.00	μB per formula unit
# theoretical density	2.71	g/cm3
# formation energy	-0.03	eV/atom

=====

# PBE-GGA HoLuThMg, optimized geometry
data_HoLuThMg
_symmetry_space_group_name_H-M 'F -4 3 m'
_symmetry_Int_Tables_number 216
_symmetry_space_group_name_Hall 'F -4 2 3'
_cell_length_a 7.753
_cell_length_b 7.753
_cell_length_c 7.753
_cell_angle_alpha 90.00
_cell_angle_beta 90.00
_cell_angle_gamma 90.00
loop_
_atom_site_label
_atom_site_type_symbol
_atom_site_fract_x
_atom_site_fract_y
_atom_site_fract_z
Ho1 Ho 0.000 0.000 0.000
Lu1 Lu 0.250 0.250 0.750
Th1 Th 0.000 0.000 0.500
Mg1 Mg 0.250 0.250 0.250
# size of the total moment	0.02	μB per formula unit
# theoretical density	8.50	g/cm3
# formation energy	0.09	eV/atom

=====

# PBE-GGA LiFeAs2, optimized geometry
data_LiFeAs2
_symmetry_space_group_name_H-M 'P m m 2'
_symmetry_Int_Tables_number 25
_symmetry_space_group_name_Hall 'P 2 -2'
_cell_length_a 2.689
_cell_length_b 3.966
_cell_length_c 6.408
_cell_angle_alpha 90.00
_cell_angle_beta 90.00
_cell_angle_gamma 90.00
loop_
_atom_site_label
_atom_site_type_symbol
_atom_site_fract_x
_atom_site_fract_y
_atom_site_fract_z
Li1 Li 0.000 0.000 0.000
Fe1 Fe 0.500 0.500 0.749
As1 As 0.000 0.000 0.594
As2 As 0.500 0.500 0.126
# size of the total moment	2.50	μB per formula unit
# theoretical density	5.17	g/cm3
# formation energy	-0.05	eV/atom